PBE-GGA Ho8Ni2Pb, optimized geometry; N(E_F) = 14.1 states/eV per cell; uncorrected energy = -54.04 eV/cell
1.0
0.281 2.221 -4.840
-2.583 -7.112 -2.280
-5.650 4.672 2.951
Ho Ni Pb
8 2 1
Direct
0.422 0.926 0.668
0.422 0.668 0.926
0.578 0.338 0.080
0.000 0.253 0.753
0.800 0.607 0.607
0.578 0.080 0.338
0.200 0.399 0.399
0.000 0.753 0.253
0.500 0.699 0.307
0.500 0.307 0.699
0.000 0.003 0.003

***

PBE-GGA Li3PaTi2Se6, optimized geometry; N(E_F) = 3.9 states/eV per cell; formation energy (no corrections) = -1.251 eV/atom
1.0
6.581 -0.006 0.004
-3.294 5.697 0.004
-1.092 -1.891 6.563
Li Se Ti Pa
3 6 2 1
Direct
0.159 0.841 0.500
0.500 0.500 0.500
0.841 0.159 0.500
0.726 0.726 0.237
0.912 0.564 0.749
0.274 0.274 0.763
0.564 0.912 0.749
0.088 0.436 0.251
0.436 0.088 0.251
0.320 0.680 0.000
0.680 0.320 0.000
0.000 0.000 0.000

***

Copy entry 1 word for word.
PBE-GGA Ho8Ni2Pb, optimized geometry; N(E_F) = 14.1 states/eV per cell; uncorrected energy = -54.04 eV/cell
1.0
0.281 2.221 -4.840
-2.583 -7.112 -2.280
-5.650 4.672 2.951
Ho Ni Pb
8 2 1
Direct
0.422 0.926 0.668
0.422 0.668 0.926
0.578 0.338 0.080
0.000 0.253 0.753
0.800 0.607 0.607
0.578 0.080 0.338
0.200 0.399 0.399
0.000 0.753 0.253
0.500 0.699 0.307
0.500 0.307 0.699
0.000 0.003 0.003

***

> Which of these has the lowest N(E_F)?

Li3PaTi2Se6